VASP calculation (PBE) on crystalline B3SbW4 at its relaxed geometry.

Geometry as CIF:
```
data_B3SbW4
_chemical_formula_sum 'B6 Sb2 W8'
_cell_length_a 3.2053
_cell_length_b 3.2053
_cell_length_c 23.7859
_cell_angle_alpha 90.00
_cell_angle_beta 90.00
_cell_angle_gamma 120.00
_space_group_name_H-M_alt 'P 63/m m c'
_space_group_IT_number 194
_space_group_name_Hall '-P 6c 2c'
loop_
_atom_site_label
_atom_site_type_symbol
_atom_site_fract_x
_atom_site_fract_y
_atom_site_fract_z
B1 B 0.0000 0.0000 0.0000
B2 B 0.3333 0.6667 0.1087
Sb1 Sb 0.3333 0.6667 0.7500
W1 W 0.0000 0.0000 0.1564
W2 W 0.3333 0.6667 0.5553
```

Calculated values
VASP energy ... -9.502 eV/atom
Size of the total moment ... 0.001 μB/cell